# 1
Here is a relaxed Tl2NiBr crystal from Alexandria. Energies are from PBE.

Polymorph energy (0 for the lowest one) ... 0.201 eV per atom
Calculated density ... 9160 kg/m³
Formation energy without anion corrections ... 166 meV per atom
SG ... C2/m (12)
DOS(E_F) ... 1.5 states/eV per cell

a b c (Å): 5.406 5.406 3.396
angles (deg): 90.56 90.56 89.69
Atoms (fractional coordinates):
1 Tl 0.000 0.500 0.000
2 Tl 0.500 0.000 0.000
3 Ni 0.000 0.000 0.500
4 Br 0.500 0.500 0.500



# 2
Here is a relaxed Rb2ErBr6 crystal from Alexandria. Energies are from PBE.

Calculated density ... 4493 kg/m³
Formation energy without anion corrections ... -1478 meV per atom
SG ... Amm2 (38)
DOS(E_F) ... 9.7 states/eV per cell

a b c (Å): 4.508 8.802 8.802
angles (deg): 120.11 90.00 90.00
Atoms (fractional coordinates):
1 Rb 0.000 0.167 0.833
2 Rb 0.000 0.833 0.167
3 Er 0.500 0.501 0.501
4 Br 0.000 0.273 0.500
5 Br 0.000 0.500 0.273
6 Br 0.000 0.729 0.729
7 Br 0.500 0.158 0.158
8 Br 0.500 0.500 0.843
9 Br 0.500 0.843 0.500



# 3
Here is a relaxed Sm2Ni4As3Au crystal from Alexandria. Energies are from PBE.

Calculated density ... 9370 kg/m³
SG ... P-4m2 (115)
DOS(E_F) ... 6.7 states/eV per cell
E_form ... -711 meV per atom

a b c (Å): 4.167 4.167 9.768
angles (deg): 90.00 90.00 90.00
Atoms (fractional coordinates):
1 Sm 0.000 0.500 0.241
2 Sm 0.500 0.000 0.759
3 Ni 0.000 0.000 0.000
4 Ni 0.000 0.500 0.638
5 Ni 0.500 0.000 0.362
6 Ni 0.500 0.500 0.000
7 As 0.000 0.500 0.873
8 As 0.500 0.000 0.127
9 As 0.500 0.500 0.500
10 Au 0.000 0.000 0.500



# 4
Here is a relaxed Li2SnGePd crystal from Alexandria. Energies are from PBE.

Calculated density ... 5778 kg/m³
SG ... Imm2 (44)
DOS(E_F) ... 2.5 states/eV per cell
E_form ... -357 meV per atom

a b c (Å): 7.131 7.131 7.131
angles (deg): 155.25 143.74 44.40
Atoms (fractional coordinates):
1 Li 0.000 0.000 0.000
2 Li 0.358 0.358 0.000
3 Sn 0.575 0.575 0.000
4 Ge 0.792 0.792 0.000
5 Pd 0.192 0.692 0.500



# 5
Here is a relaxed Be2TcPt crystal from Alexandria. Energies are from PBE.

Polymorph energy (0 for the lowest one) ... 0.457 eV per atom
Calculated density ... 10257 kg/m³
SG ... R3m (160)
DOS(E_F) ... 2.8 states/eV per cell
E_form ... 78 meV per atom

a b c (Å): 8.215 8.215 8.215
angles (deg): 18.81 18.81 18.81
Atoms (fractional coordinates):
1 Be 0.000 0.000 0.000
2 Be 0.254 0.254 0.254
3 Tc 0.508 0.508 0.508
4 Pt 0.743 0.743 0.743



# 6
Here is a relaxed Li6InAg2 crystal from Alexandria. Energies are from PBE.

Polymorph energy (0 for the lowest one) ... 0.000 eV per atom
Calculated density ... 4063 kg/m³
SG ... C2/m (12)
DOS(E_F) ... 2.0 states/eV per cell
E_form ... -211 meV per atom

a b c (Å): 5.355 5.355 5.355
angles (deg): 94.44 94.44 94.56
Atoms (fractional coordinates):
1 Li 0.166 0.834 0.000
2 Li 0.167 0.500 0.334
3 Li 0.500 0.167 0.334
4 Li 0.500 0.833 0.666
5 Li 0.833 0.500 0.666
6 Li 0.834 0.166 0.000
7 In 0.000 0.000 0.500
8 Ag 0.336 0.336 0.836
9 Ag 0.664 0.664 0.164



# 7
Here is a relaxed Ti2Tl2Br7 crystal from Alexandria. Energies are from PBE.

Polymorph energy (0 for the lowest one) ... 0.013 eV per atom
Calculated density ... 5142 kg/m³
Formation energy without anion corrections ... -935 meV per atom
SG ... C2/m (12)
DOS(E_F) ... 8.7 states/eV per cell

a b c (Å): 7.178 7.178 7.135
angles (deg): 96.15 96.15 70.50
Atoms (fractional coordinates):
1 Ti 0.238 0.238 0.033
2 Ti 0.762 0.762 0.967
3 Tl 0.219 0.781 0.500
4 Tl 0.781 0.219 0.500
5 Br 0.000 0.000 0.000
6 Br 0.062 0.495 0.774
7 Br 0.439 0.439 0.216
8 Br 0.495 0.062 0.774
9 Br 0.505 0.938 0.226
10 Br 0.561 0.561 0.784
11 Br 0.938 0.505 0.226



# 8
Here is a relaxed TeRuWN2 crystal from Alexandria. Energies are from PBE.

Polymorph energy (0 for the lowest one) ... 0.657 eV per atom
Calculated density ... 8492 kg/m³
Formation energy without anion corrections ... 1525 meV per atom
SG ... P4/mmm (123)
DOS(E_F) ... 4.4 states/eV per cell

a b c (Å): 3.878 3.878 5.727
angles (deg): 90.00 90.00 90.00
Atoms (fractional coordinates):
1 Te 0.000 0.000 0.000
2 Ru 0.000 0.000 0.500
3 W 0.500 0.500 0.000
4 N 0.000 0.500 0.500
5 N 0.500 0.000 0.500



# 9
Here is a relaxed NdPtN crystal from Alexandria. Energies are from PBE.

Calculated density ... 10236 kg/m³
Formation energy without anion corrections ... -625 meV per atom
SG ... I4/mmm (139)
DOS(E_F) ... 7.3 states/eV per cell

a b c (Å): 9.158 9.158 9.158
angles (deg): 157.26 157.26 32.37
Atoms (fractional coordinates):
1 Nd 0.173 0.173 0.000
2 Nd 0.827 0.827 0.000
3 Pt 0.430 0.430 0.000
4 Pt 0.570 0.570 0.000
5 N 0.310 0.310 0.000
6 N 0.690 0.690 0.000



# 10
Here is a relaxed BeAgSe crystal from Alexandria. Energies are from PBE.

Polymorph energy (0 for the lowest one) ... 0.134 eV per atom
Calculated density ... 5516 kg/m³
Formation energy without anion corrections ... -120 meV per atom
SG ... P1 (1)
DOS(E_F) ... 1.3 states/eV per cell

a b c (Å): 3.667 6.157 6.176
angles (deg): 116.61 90.50 106.62
Atoms (fractional coordinates):
1 Be 0.000 0.000 0.000
2 Be 0.244 0.482 0.121
3 Ag 0.378 0.752 0.561
4 Ag 0.685 0.355 0.330
5 Se 0.080 0.168 0.754
6 Se 0.420 0.831 0.060



# 11
Here is a relaxed ZnSi2Cl crystal from Alexandria. Energies are from PBE.

Polymorph energy (0 for the lowest one) ... 0.322 eV per atom
Calculated density ... 3243 kg/m³
Formation energy without anion corrections ... 317 meV per atom
SG ... P4/mmm (123)
DOS(E_F) ... 1.9 states/eV per cell

a b c (Å): 3.513 3.513 6.515
angles (deg): 90.00 90.00 90.00
Atoms (fractional coordinates):
1 Zn 0.000 0.000 0.000
2 Si 0.000 0.500 0.500
3 Si 0.500 0.000 0.500
4 Cl 0.500 0.500 0.000



# 12
Here is a relaxed MnTlGe2Cl8 crystal from Alexandria. Energies are from PBE.

Calculated density ... 3114 kg/m³
Formation energy without anion corrections ... -892 meV per atom
SG ... P-1 (2)

a b c (Å): 5.975 7.782 8.599
angles (deg): 96.71 94.99 111.07
Atoms (fractional coordinates):
1 Mn 0.000 0.000 0.000
2 Tl 0.000 0.000 0.500
3 Ge 0.283 0.662 0.164
4 Ge 0.717 0.338 0.836
5 Cl 0.027 0.774 0.823
6 Cl 0.293 0.272 0.847
7 Cl 0.323 0.001 0.169
8 Cl 0.324 0.707 0.434
9 Cl 0.676 0.293 0.566
10 Cl 0.677 0.999 0.831
11 Cl 0.707 0.728 0.153
12 Cl 0.973 0.226 0.177



# 13
Here is a relaxed HgSeN2Cl crystal from Alexandria. Energies are from PBE.

Polymorph energy (0 for the lowest one) ... 0.109 eV per atom
Calculated density ... 5046 kg/m³
Formation energy without anion corrections ... 2015 meV per atom
SG ... P4/mmm (123)
DOS(E_F) ... 2.6 states/eV per cell

a b c (Å): 3.794 3.794 7.842
angles (deg): 90.00 90.00 90.00
Atoms (fractional coordinates):
1 Hg 0.000 0.000 0.000
2 Se 0.500 0.500 0.000
3 N 0.000 0.500 0.500
4 N 0.500 0.000 0.500
5 Cl 0.500 0.500 0.500



# 14
Here is a relaxed SrAgPb2 crystal from Alexandria. Energies are from PBE.

Calculated density ... 8667 kg/m³
SG ... I-4m2 (119)
DOS(E_F) ... 1.0 states/eV per cell
E_form ... -230 meV per atom

a b c (Å): 5.943 5.943 5.943
angles (deg): 131.04 131.04 71.75
Atoms (fractional coordinates):
1 Sr 0.000 0.000 0.000
2 Ag 0.750 0.250 0.500
3 Pb 0.250 0.750 0.500
4 Pb 0.500 0.500 0.000



# 15
Here is a relaxed V2SBr crystal from Alexandria. Energies are from PBE.

Polymorph energy (0 for the lowest one) ... 0.000 eV per atom
Calculated density ... 4431 kg/m³
Formation energy without anion corrections ... -426 meV per atom
SG ... R-3m (166)
DOS(E_F) ... 3.2 states/eV per cell

a b c (Å): 6.752 6.752 6.752
angles (deg): 32.75 32.75 32.75
Atoms (fractional coordinates):
1 V 0.129 0.129 0.129
2 V 0.871 0.871 0.871
3 S 0.500 0.500 0.500
4 Br 0.000 0.000 0.000



# 16
Here is a relaxed NiAgSn2I crystal from Alexandria. Energies are from PBE.

Calculated density ... 6820 kg/m³
Formation energy without anion corrections ... 99 meV per atom
SG ... P4/mmm (123)
DOS(E_F) ... 1.7 states/eV per cell

a b c (Å): 4.948 4.948 5.279
angles (deg): 90.00 90.00 90.00
Atoms (fractional coordinates):
1 Ni 0.000 0.000 0.000
2 Ag 0.000 0.000 0.500
3 Sn 0.000 0.500 0.000
4 Sn 0.500 0.000 0.000
5 I 0.500 0.500 0.500



# 17
Here is a relaxed InCuH crystal from Alexandria. Energies are from PBE.

Polymorph energy (0 for the lowest one) ... 0.043 eV per atom
Calculated density ... 6958 kg/m³
SG ... P2_1/m (11)
DOS(E_F) ... 1.4 states/eV per cell

a b c (Å): 4.582 3.045 6.449
angles (deg): 90.00 107.93 90.00
Atoms (fractional coordinates):
1 In 0.179 0.250 0.349
2 In 0.821 0.750 0.651
3 Cu 0.428 0.250 0.827
4 Cu 0.572 0.750 0.173
5 H 0.296 0.750 0.912
6 H 0.704 0.250 0.088



# 18
Here is a relaxed MnAuCl2 crystal from Alexandria. Energies are from PBE.

Polymorph energy (0 for the lowest one) ... 0.180 eV per atom
Calculated density ... 5345 kg/m³
Formation energy without anion corrections ... -255 meV per atom
SG ... Cmmm (65)
DOS(E_F) ... 0.9 states/eV per cell

a b c (Å): 3.246 3.246 10.503
angles (deg): 90.00 90.00 114.99
Atoms (fractional coordinates):
1 Mn 0.000 0.000 0.000
2 Au 0.000 0.000 0.500
3 Cl 0.500 0.500 0.158
4 Cl 0.500 0.500 0.842



# 19
Here is a relaxed CaDySn2 crystal from Alexandria. Energies are from PBE.

Calculated density ... 6270 kg/m³
SG ... R-3m (166)
DOS(E_F) ... 2.5 states/eV per cell
E_form ... -489 meV per atom

a b c (Å): 9.895 9.895 9.895
angles (deg): 21.74 21.74 21.74
Atoms (fractional coordinates):
1 Ca 0.000 0.000 0.000
2 Dy 0.500 0.500 0.500
3 Sn 0.249 0.249 0.249
4 Sn 0.751 0.751 0.751



# 20
Here is a relaxed Sn5PbCl12 crystal from Alexandria. Energies are from PBE.

Calculated density ... 3265 kg/m³
Formation energy without anion corrections ... -996 meV per atom
SG ... C2/m (12)
DOS(E_F) ... 0.0 states/eV per cell

a b c (Å): 7.487 7.487 12.881
angles (deg): 90.04 90.04 120.29
Atoms (fractional coordinates):
1 Sn 0.000 0.000 0.000
2 Sn 0.167 0.833 0.500
3 Sn 0.333 0.667 0.000
4 Sn 0.667 0.333 0.000
5 Sn 0.833 0.167 0.500
6 Pb 0.500 0.500 0.500
7 Cl 0.001 0.668 0.114
8 Cl 0.161 0.161 0.616
9 Cl 0.162 0.500 0.384
10 Cl 0.332 0.999 0.886
11 Cl 0.334 0.334 0.114
12 Cl 0.500 0.162 0.384
13 Cl 0.500 0.838 0.616
14 Cl 0.666 0.666 0.886
15 Cl 0.668 0.001 0.114
16 Cl 0.838 0.500 0.616
17 Cl 0.839 0.839 0.384
18 Cl 0.999 0.332 0.886



# 21
Here is a relaxed Cs4K2Au5 crystal from Alexandria. Energies are from PBE.

Calculated density ... 5671 kg/m³
SG ... Ibam (72)
DOS(E_F) ... 8.1 states/eV per cell
E_form ... -266 meV per atom

a b c (Å): 13.284 13.284 13.284
angles (deg): 132.50 59.07 146.98
Atoms (fractional coordinates):
1 Cs 0.054 0.725 0.780
2 Cs 0.141 0.112 0.254
3 Cs 0.359 0.612 0.971
4 Cs 0.446 0.225 0.671
5 Cs 0.554 0.775 0.329
6 Cs 0.641 0.388 0.029
7 Cs 0.859 0.888 0.746
8 Cs 0.946 0.275 0.220
9 K 0.051 0.750 0.301
10 K 0.449 0.750 0.699
11 K 0.551 0.250 0.301
12 K 0.949 0.250 0.699
13 Au 0.087 0.407 0.494
14 Au 0.213 0.792 0.005
15 Au 0.250 0.250 0.000
16 Au 0.287 0.292 0.579
17 Au 0.413 0.907 0.320
18 Au 0.587 0.093 0.680
19 Au 0.713 0.708 0.421
20 Au 0.750 0.750 0.000
21 Au 0.787 0.208 0.995
22 Au 0.913 0.593 0.506



# 22
Here is a relaxed TlCo2P crystal from Alexandria. Energies are from PBE.

Calculated density ... 9464 kg/m³
SG ... I-42d (122)
DOS(E_F) ... 2.8 states/eV per cell
E_form ... 201 meV per atom

a b c (Å): 5.461 5.461 5.461
angles (deg): 106.08 106.08 116.50
Atoms (fractional coordinates):
1 Tl 0.000 0.000 0.000
2 Tl 0.750 0.250 0.500
3 Co 0.206 0.125 0.581
4 Co 0.375 0.794 0.919
5 Co 0.544 0.625 0.419
6 Co 0.875 0.456 0.081
7 P 0.250 0.750 0.500
8 P 0.500 0.500 0.000



# 23
Here is a relaxed NdEr2Rh3 crystal from Alexandria. Energies are from PBE.

Polymorph energy (0 for the lowest one) ... 0.000 eV per atom
Calculated density ... 10665 kg/m³
SG ... P4/mmm (123)
DOS(E_F) ... 3.9 states/eV per cell
E_form ... -825 meV per atom

a b c (Å): 3.436 3.436 10.389
angles (deg): 90.00 90.00 90.00
Atoms (fractional coordinates):
1 Nd 0.000 0.000 0.000
2 Er 0.000 0.000 0.337
3 Er 0.000 0.000 0.663
4 Rh 0.500 0.500 0.180
5 Rh 0.500 0.500 0.500
6 Rh 0.500 0.500 0.820



# 24
Here is a relaxed Pm3Sn7Pd4 crystal from Alexandria. Energies are from PBE.

Calculated density ... 8622 kg/m³
SG ... C2/m (12)
DOS(E_F) ... 5.7 states/eV per cell
E_form ... -704 meV per atom

a b c (Å): 8.897 8.897 10.209
angles (deg): 123.29 123.29 29.31
Atoms (fractional coordinates):
1 Pm 0.000 0.000 0.000
2 Pm 0.326 0.326 0.325
3 Pm 0.674 0.674 0.675
4 Sn 0.000 0.000 0.500
5 Sn 0.169 0.169 0.434
6 Sn 0.310 0.310 0.944
7 Sn 0.493 0.493 0.258
8 Sn 0.507 0.507 0.742
9 Sn 0.690 0.690 0.056
10 Sn 0.831 0.831 0.566
11 Pd 0.126 0.126 0.858
12 Pd 0.347 0.347 0.725
13 Pd 0.653 0.653 0.275
14 Pd 0.874 0.874 0.142



# 25
Here is a relaxed Na2Dy2OsO6 crystal from Alexandria. Energies are from PBE.

Calculated density ... 6727 kg/m³
Formation energy without anion corrections ... -2186 meV per atom
SG ... C2/m (12)
DOS(E_F) ... 4.5 states/eV per cell

a b c (Å): 5.738 5.738 5.906
angles (deg): 97.36 97.36 120.29
Atoms (fractional coordinates):
1 Na 0.145 0.855 0.000
2 Na 0.855 0.145 0.000
3 Dy 0.339 0.661 0.500
4 Dy 0.661 0.339 0.500
5 Os 0.000 0.000 0.500
6 O 0.040 0.353 0.691
7 O 0.249 0.249 0.294
8 O 0.353 0.040 0.691
9 O 0.647 0.960 0.309
10 O 0.751 0.751 0.706
11 O 0.960 0.647 0.309



no.,total magnetic moment (μB/f.u.)
1,0.00
2,1.05
3,0.00
4,0.00
5,0.00
6,0.00
7,3.00
8,3.07
9,0.00
10,0.00
11,0.00
12,3.97
13,0.94
14,0.00
15,0.00
16,0.00
17,0.00
18,4.97
19,0.00
20,0.00
21,0.00
22,0.00
23,0.00
24,0.00
25,2.00